1.
The following is a PBE calculation of an optimized crystal structure of GdLuHf, from the Open Quantum Materials Database.

Unit cell a=5.162 b=5.162 c=5.162 alpha=60.00 beta=60.00 gamma=60.00
Sites, in units of the cell vectors:
Gd 0.250 0.250 0.250
Hf 0.000 0.000 0.000
Lu 0.750 0.750 0.750

Calculated total energy, eV/cell: -16.6
Volume, Å³ per cell: 97
Total magnetization, μB/f.u.: 0.7
DFT formation energy, meV per atom: 858
Space group: F-43m

2.
The following is a PBE calculation of an optimized crystal structure of ZrTl2Co, from the Open Quantum Materials Database.

Unit cell a=4.876 b=4.876 c=4.876 alpha=60.00 beta=60.00 gamma=60.00
Sites, in units of the cell vectors:
Co 0.250 0.250 0.250
Tl 0.000 0.000 0.000
Tl 0.750 0.750 0.750
Zr 0.500 0.500 0.500

Calculated total energy, eV/cell: -18.7
Volume, Å³ per cell: 82
Total magnetization, μB/f.u.: 0.3
Space group: F-43m

3.
The following is a PBE calculation of an optimized crystal structure of TbGdNi2P4, from the Open Quantum Materials Database.

Unit cell a=3.739 b=3.739 c=9.523 alpha=90.00 beta=90.00 gamma=90.00
Sites, in units of the cell vectors:
Gd 0.000 0.000 0.232
Ni 0.500 0.000 0.501
Ni 0.000 0.500 0.501
P 0.500 0.500 0.366
P 0.000 0.000 0.635
P 0.500 0.000 0.999
P 0.000 0.500 0.999
Tb 0.500 0.500 0.767

Calculated total energy, eV/cell: -49.9
Volume, Å³ per cell: 133
Total magnetization, μB/f.u.: 0.1
Space group: P4mm

4.
The following is a PBE calculation of an optimized crystal structure of GdZrCS, from the Open Quantum Materials Database.

Unit cell a=3.574 b=3.574 c=12.728 alpha=90.00 beta=90.00 gamma=120.00
Sites, in units of the cell vectors:
C 0.000 0.000 0.000
C 0.000 0.000 0.500
Gd 0.667 0.333 0.109
Gd 0.333 0.667 0.891
S 0.333 0.667 0.268
S 0.667 0.333 0.732
Zr 0.667 0.333 0.405
Zr 0.333 0.667 0.595

Calculated total energy, eV/cell: -62.9
Volume, Å³ per cell: 141
Total magnetization, μB/f.u.: 0.0
Space group: P-3m1